# Cd2AgHg PBE-GGA relaxed
# * ΔE_f: 0.0670 eV per atom
# * uncorrected energy: -18.86 eV for the cell shown
# * M_tot: 0.000 μB per formula unit
data_Cd2AgHg
_chemical_formula_sum 'Cd8 Ag4 Hg4'
_cell_length_a 7.0072
_cell_length_b 7.0072
_cell_length_c 7.0072
_cell_angle_alpha 90.00
_cell_angle_beta 90.00
_cell_angle_gamma 90.00
_space_group_name_H-M_alt 'F -4 3 m'
_space_group_IT_number 216
_space_group_name_Hall 'F -4 2 3'
loop_
_atom_site_label
_atom_site_type_symbol
_atom_site_fract_x
_atom_site_fract_y
_atom_site_fract_z
Cd1 Cd 0.0000 0.0000 0.0000
Cd2 Cd 0.2500 0.2500 0.2500
Ag1 Ag 0.2500 0.2500 0.7500
Hg1 Hg 0.0000 0.0000 0.5000